# 1
# Mg2CuOs (PBE-GGA, relaxed)
data_Mg2CuOs
_chemical_formula_sum 'Mg2 Cu1 Os1'
_space_group_name_H-M_alt 'P 1'
_space_group_IT_number 1
_space_group_name_Hall 'P 1'
_cell_length_a 4.700
_cell_length_b 4.700
_cell_length_c 5.051
_cell_angle_alpha 82.14
_cell_angle_beta 82.14
_cell_angle_gamma 33.95
loop_
_atom_site_label
_atom_site_fract_x
_atom_site_fract_y
_atom_site_fract_z
Cu1 0.250 0.250 0.250
Mg1 0.999 0.999 0.997
Mg2 0.501 0.501 0.503
Os1 0.750 0.750 0.750
# Size of the total moment: 0.00 μB/f.u.
# E: -17.6 eV per cell
# Distance to the lowest polymorph of the same formula: 10.7 kJ per mole of atoms
# D(E_F): 1.67 states/eV/f.u.
# DFT formation energy: 230 meV per atom

# 2
# MgCuOs2 (PBE-GGA, relaxed)
data_MgCuOs2
_chemical_formula_sum 'Mg1 Cu1 Os2'
_space_group_name_H-M_alt 'P 1'
_space_group_IT_number 1
_space_group_name_Hall 'P 1'
_cell_length_a 5.143
_cell_length_b 5.143
_cell_length_c 5.143
_cell_angle_alpha 147.08
_cell_angle_beta 128.81
_cell_angle_gamma 62.21
loop_
_atom_site_label
_atom_site_fract_x
_atom_site_fract_y
_atom_site_fract_z
Cu1 0.503 0.503 0.000
Mg1 0.255 0.755 0.500
Os1 0.991 0.991 0.000
Os2 0.751 0.251 0.500
# Size of the total moment: 0.00 μB/f.u.
# E: -26.8 eV per cell
# D(E_F): 2.69 states/eV/f.u.
# DFT formation energy: 349 meV per atom

# 3
# MgCu2Os (PBE-GGA, relaxed)
data_MgCu2Os
_chemical_formula_sum 'Mg1 Cu2 Os1'
_space_group_name_H-M_alt 'P 1'
_space_group_IT_number 1
_space_group_name_Hall 'P 1'
_cell_length_a 4.242
_cell_length_b 2.631
_cell_length_c 5.139
_cell_angle_alpha 75.40
_cell_angle_beta 90.00
_cell_angle_gamma 90.00
loop_
_atom_site_label
_atom_site_fract_x
_atom_site_fract_y
_atom_site_fract_z
Cu1 0.000 0.192 0.988
Cu2 0.500 0.063 0.252
Mg1 0.000 0.448 0.481
Os1 0.500 0.797 0.779
# Size of the total moment: 0.00 μB/f.u.
# E: -20.3 eV per cell
# D(E_F): 2.06 states/eV/f.u.
# DFT formation energy: 191 meV per atom

# 4
# MgCu2Os (PBE-GGA, relaxed)
data_MgCu2Os
_chemical_formula_sum 'Mg1 Cu2 Os1'
_space_group_name_H-M_alt 'P 1'
_space_group_IT_number 1
_space_group_name_Hall 'P 1'
_cell_length_a 2.661
_cell_length_b 2.661
_cell_length_c 8.688
_cell_angle_alpha 90.00
_cell_angle_beta 90.00
_cell_angle_gamma 113.68
loop_
_atom_site_label
_atom_site_fract_x
_atom_site_fract_y
_atom_site_fract_z
Cu1 0.000 0.000 0.007
Cu2 0.500 0.500 0.240
Mg1 0.000 0.000 0.494
Os1 0.500 0.500 0.758
# Size of the total moment: 0.00 μB/f.u.
# E: -20.0 eV per cell
# D(E_F): 1.93 states/eV/f.u.
# DFT formation energy: 256 meV per atom

# 5
# MgCuOs2 (PBE-GGA, relaxed)
data_MgCuOs2
_chemical_formula_sum 'Mg1 Cu1 Os2'
_space_group_name_H-M_alt 'P 1'
_space_group_IT_number 1
_space_group_name_Hall 'P 1'
_cell_length_a 2.708
_cell_length_b 2.708
_cell_length_c 9.030
_cell_angle_alpha 90.00
_cell_angle_beta 90.00
_cell_angle_gamma 116.34
loop_
_atom_site_label
_atom_site_fract_x
_atom_site_fract_y
_atom_site_fract_z
Cu1 0.000 0.000 0.498
Mg1 0.500 0.500 0.746
Os1 0.000 0.000 0.006
Os2 0.500 0.500 0.250
# Size of the total moment: 0.00 μB/f.u.
# E: -26.4 eV per cell
# D(E_F): 4.33 states/eV/f.u.
# DFT formation energy: 435 meV per atom

# 6
# Mg2Cu2Os (PBE-GGA, relaxed)
data_Mg2Cu2Os
_chemical_formula_sum 'Mg4 Cu4 Os2'
_space_group_name_H-M_alt 'P 1'
_space_group_IT_number 1
_space_group_name_Hall 'P 1'
_cell_length_a 7.250
_cell_length_b 7.250
_cell_length_c 2.773
_cell_angle_alpha 90.00
_cell_angle_beta 90.00
_cell_angle_gamma 90.00
loop_
_atom_site_label
_atom_site_fract_x
_atom_site_fract_y
_atom_site_fract_z
Mg1 0.178 0.678 0.500
Mg2 0.678 0.822 0.500
Mg3 0.822 0.322 0.500
Mg4 0.322 0.178 0.500
Os1 0.000 0.000 0.000
Os2 0.500 0.500 0.000
Cu1 0.380 0.880 0.000
Cu2 0.880 0.620 0.000
Cu3 0.620 0.120 0.000
Cu4 0.120 0.380 0.000
# Size of the total moment: 0.00 μB/f.u.
# E: -42.9 eV per cell
# Distance to the lowest polymorph of the same formula: 0.0 kJ per mole of atoms
# D(E_F): 2.00 states/eV/f.u.
# DFT formation energy: 234 meV per atom

> Number 6 is which compound?

Mg2Cu2Os